Entry 1:
## NpSi2Ni (GGA-PBE)

Data for NpSi2Ni after structural relaxation.

```
NpSi2Ni
1.0
6.8332 0.0000 0.0000
0.0000 3.8850 0.0000
0.0000 0.0000 9.7661
Np Si Ni
4 8 4
Direct
0.1363 0.2500 0.1211
0.3637 0.7500 0.6211
0.6363 0.2500 0.3789
0.8637 0.7500 0.8789
0.1657 0.2500 0.8094
0.1990 0.2500 0.4243
0.3010 0.7500 0.9243
0.3343 0.7500 0.3094
0.6657 0.2500 0.6906
0.6990 0.2500 0.0757
0.8010 0.7500 0.5757
0.8343 0.7500 0.1906
0.0073 0.7500 0.3901
0.4927 0.2500 0.8901
0.5073 0.7500 0.1099
0.9927 0.2500 0.6099
```

Values from the calculation:
Energy relative to the elements, uncorrected, eV/atom: -0.464

---

Entry 2:
## Rb3Np2CoS6 (GGA-PBE)

Data for Rb3Np2CoS6 after structural relaxation.

```
Rb3Np2CoS6
1.0
3.4296 -5.9375 0.0000
3.4296 5.9375 0.0000
-2.2826 0.0000 7.6456
Rb Np Co S
3 2 1 6
Direct
0.0000 0.0000 0.0000
0.3345 0.6655 0.0000
0.6655 0.3345 0.0000
0.1668 0.8332 0.5000
0.8332 0.1668 0.5000
0.5000 0.5000 0.5000
0.1140 0.4384 0.3152
0.2369 0.2369 0.6846
0.4384 0.1140 0.3152
0.5616 0.8860 0.6848
0.7631 0.7631 0.3154
0.8860 0.5616 0.6848
```

Values from the calculation:
Energy relative to the elements, uncorrected, eV/atom: -1.065

---

Entry 3:
## Li4ZnSe (GGA-PBE)

Data for Li4ZnSe after structural relaxation.

```
Li4ZnSe
1.0
0.0000 3.7401 3.7401
3.7401 0.0000 3.7401
3.7401 3.7401 0.0000
Li Zn Se
4 1 1
Direct
0.1254 0.1254 0.1254
0.1254 0.1254 0.6239
0.1254 0.6239 0.1254
0.6239 0.1254 0.1254
0.5000 0.5000 0.5000
0.7500 0.7500 0.7500
```

Values from the calculation:
Energy relative to the elements, uncorrected, eV/atom: -0.137

---

Entry 4:
## LaPrSm3Sc (GGA-PBE)

Data for LaPrSm3Sc after structural relaxation.

```
LaPrSm3Sc
1.0
2.5376 -7.6426 0.0000
2.5376 7.6426 0.0000
0.0000 0.0000 10.2256
La Pr Sm Sc
2 2 6 2
Direct
0.0032 0.9968 0.7500
0.9968 0.0032 0.2500
0.5000 0.5000 0.0000
0.5000 0.5000 0.5000
0.1689 0.8311 0.5011
0.1689 0.8311 0.9989
0.3287 0.6713 0.7500
0.6713 0.3287 0.2500
0.8311 0.1689 0.0011
0.8311 0.1689 0.4989
0.3305 0.6695 0.2500
0.6695 0.3305 0.7500
```

Values from the calculation:
DFT formation energy, meV/atom: 45

---

Entry 5:
## InNi2W (GGA-PBE)

Data for InNi2W after structural relaxation.

```
InNi2W
1.0
1.4335 0.8276 8.4781
-1.4335 0.8276 8.4781
0.0000 -1.6552 8.4781
In Ni W
1 2 1
Direct
0.0000 0.0000 0.0000
0.2498 0.2498 0.2498
0.5087 0.5087 0.5087
0.7648 0.7648 0.7648
```

Values from the calculation:
DFT formation energy, meV/atom: 391

---

Entry 6:
## URe2Os (GGA-PBE)

Data for URe2Os after structural relaxation.

```
URe2Os
1.0
1.3941 0.8049 9.9084
-1.3941 0.8049 9.9084
0.0000 -1.6097 9.9084
U Re Os
1 2 1
Direct
0.0000 0.0000 0.0000
0.0930 0.0930 0.0930
0.9070 0.9070 0.9070
0.5000 0.5000 0.5000
```

Values from the calculation:
Distance to the lowest polymorph of the same formula, eV per atom: 0.472
DFT formation energy, meV/atom: 558

---

| no. | DOS at the Fermi energy (states/eV/cell) | E_tot (eV/f.u.) |
| --- | --- | --- |
| 1 | 28.285 | -31.42 |
| 2 | 20.250 | -73.43 |
| 3 | 1.583 | -13.23 |
| 4 | 20.088 | -29.93 |
| 5 | 4.570 | -25.69 |
| 6 | 6.956 | -45.18 |